Model 1:
Computed, not measured: TlCuCl2 after structural relaxation at the GGA-PBEsol level of DFT.

Cell lengths 3.472, 3.472, 7.696 Å; angles 90.00, 90.00, 90.00 degrees
Fractional positions:
Tl: 0.000 0.000 0.000
Cu: 0.500 0.500 0.518
Cl: 0.000 0.000 0.583
Cl: 0.500 0.500 0.224

space group: No. 99


Model 2:
Computed, not measured: TlCuCl2 after structural relaxation at the GGA-PBEsol level of DFT.

Cell lengths 4.721, 3.837, 6.090 Å; angles 90.00, 112.78, 90.00 degrees
Fractional positions:
Tl: 0.000 0.000 0.000
Cu: 0.370 0.500 0.749
Cl: 0.273 0.000 0.548
Cl: 0.570 0.500 0.140

space group: No. 6


Model 3:
Computed, not measured: TlCuCl2 after structural relaxation at the GGA-PBEsol level of DFT.

Cell lengths 7.203, 7.203, 7.028 Å; angles 90.00, 90.00, 90.00 degrees
Fractional positions:
Tl: 0.000 0.000 0.000
Tl: 0.000 0.500 0.250
Tl: 0.500 0.000 0.750
Tl: 0.500 0.500 0.500
Cu: 0.000 0.000 0.500
Cu: 0.000 0.500 0.750
Cu: 0.500 0.000 0.250
Cu: 0.500 0.500 0.000
Cl: 0.157 0.250 0.625
Cl: 0.250 0.657 0.875
Cl: 0.250 0.843 0.375
Cl: 0.343 0.250 0.125
Cl: 0.657 0.750 0.125
Cl: 0.750 0.157 0.375
Cl: 0.750 0.343 0.875
Cl: 0.843 0.750 0.625

space group: No. 122


Stability summary: most stable model 3, least stable model 1.


Model 1:
Computed, not measured: CuW2Cl after structural relaxation at the GGA-PBEsol level of DFT.

Cell lengths 4.125, 4.125, 7.020 Å; angles 90.00, 90.00, 90.00 degrees
Fractional positions:
Cu: 0.000 0.000 0.000
Cu: 0.500 0.500 0.500
W: 0.000 0.000 0.500
W: 0.000 0.500 0.250
W: 0.500 0.000 0.750
W: 0.500 0.500 0.000
Cl: 0.000 0.500 0.750
Cl: 0.500 0.000 0.250

space group: No. 119


Model 2:
Computed, not measured: CuW2Cl after structural relaxation at the GGA-PBEsol level of DFT.

Cell lengths 3.713, 3.713, 8.838 Å; angles 90.00, 90.00, 90.00 degrees
Fractional positions:
Cu: 0.000 0.000 0.000
Cu: 0.500 0.500 0.500
W: 0.000 0.500 0.250
W: 0.000 0.500 0.750
W: 0.500 0.000 0.250
W: 0.500 0.000 0.750
Cl: 0.000 0.000 0.500
Cl: 0.500 0.500 0.000

space group: No. 139


Stability summary: most stable model 1, least stable model 2.


Model 1:
Computed, not measured: YCu2Cl after structural relaxation at the GGA-PBEsol level of DFT.

Cell lengths 3.342, 3.342, 6.320 Å; angles 90.00, 90.00, 90.00 degrees
Fractional positions:
Y: 0.000 0.000 0.000
Cu: 0.500 0.500 0.273
Cu: 0.500 0.500 0.727
Cl: 0.000 0.000 0.500

space group: No. 123


Model 2:
Computed, not measured: YCu2Cl after structural relaxation at the GGA-PBEsol level of DFT.

Cell lengths 3.421, 3.983, 10.131 Å; angles 90.00, 90.00, 90.00 degrees
Fractional positions:
Y: 0.000 0.000 0.000
Y: 0.500 0.500 0.500
Cu: 0.000 0.500 0.252
Cu: 0.000 0.500 0.748
Cu: 0.500 0.000 0.248
Cu: 0.500 0.000 0.752
Cl: 0.000 0.000 0.500
Cl: 0.500 0.500 0.000

space group: No. 71


Stability summary: most stable model 2, least stable model 1.


Model 1:
Computed, not measured: InClF2 after structural relaxation at the GGA-PBEsol level of DFT.

Cell lengths 6.580, 9.187, 5.994 Å; angles 90.00, 122.24, 90.00 degrees
Fractional positions:
In: 0.000 0.157 0.000
In: 0.000 0.843 0.500
In: 0.500 0.343 0.500
In: 0.500 0.657 0.000
Cl: 0.060 0.364 0.302
Cl: 0.060 0.636 0.802
Cl: 0.560 0.136 0.802
Cl: 0.560 0.864 0.302
F: 0.046 0.001 0.777
F: 0.046 0.999 0.277
F: 0.370 0.196 0.178
F: 0.370 0.804 0.678
F: 0.546 0.499 0.277
F: 0.546 0.501 0.777
F: 0.870 0.304 0.678
F: 0.870 0.696 0.178

space group: No. 9


Model 2:
Computed, not measured: InClF2 after structural relaxation at the GGA-PBEsol level of DFT.

Cell lengths 5.936, 5.936, 5.936 Å; angles 90.00, 90.00, 90.00 degrees
Fractional positions:
In: 0.000 0.000 0.000
In: 0.000 0.500 0.500
In: 0.500 0.000 0.500
In: 0.500 0.500 0.000
Cl: 0.000 0.000 0.500
Cl: 0.000 0.500 0.000
Cl: 0.500 0.000 0.000
Cl: 0.500 0.500 0.500
F: 0.250 0.250 0.250
F: 0.250 0.250 0.750
F: 0.250 0.750 0.250
F: 0.250 0.750 0.750
F: 0.750 0.250 0.250
F: 0.750 0.250 0.750
F: 0.750 0.750 0.250
F: 0.750 0.750 0.750

space group: No. 225


Stability summary: most stable model 1, least stable model 2.


Model 1:
Computed, not measured: ScIr2ClF after structural relaxation at the GGA-PBEsol level of DFT.

Cell lengths 4.031, 4.031, 4.987 Å; angles 90.00, 90.00, 90.00 degrees
Fractional positions:
Sc: 0.000 0.000 0.000
Ir: 0.000 0.500 0.500
Ir: 0.500 0.000 0.500
Cl: 0.500 0.500 0.000
F: 0.500 0.500 0.500

space group: No. 123


Model 2:
Computed, not measured: ScIr2ClF after structural relaxation at the GGA-PBEsol level of DFT.

Cell lengths 4.312, 4.312, 4.640 Å; angles 90.00, 90.00, 90.00 degrees
Fractional positions:
Sc: 0.000 0.000 0.000
Ir: 0.000 0.500 0.500
Ir: 0.500 0.000 0.500
Cl: 0.500 0.500 0.500
F: 0.500 0.500 0.000

space group: No. 123


Stability summary: most stable model 1, least stable model 2.


Model 1:
Computed, not measured: TiP2ClF after structural relaxation at the GGA-PBEsol level of DFT.

Cell lengths 4.650, 4.650, 4.574 Å; angles 90.00, 90.00, 90.00 degrees
Fractional positions:
Ti: 0.000 0.000 0.000
P: 0.000 0.500 0.000
P: 0.500 0.000 0.000
Cl: 0.000 0.000 0.500
F: 0.500 0.500 0.500

space group: No. 123


Model 2:
Computed, not measured: TiP2ClF after structural relaxation at the GGA-PBEsol level of DFT.

Cell lengths 3.996, 3.996, 4.952 Å; angles 90.00, 90.00, 90.00 degrees
Fractional positions:
Ti: 0.000 0.000 0.000
P: 0.000 0.500 0.500
P: 0.500 0.000 0.500
Cl: 0.500 0.500 0.000
F: 0.500 0.500 0.500

space group: No. 123


Stability summary: most stable model 1, least stable model 2.


Model 1:
Computed, not measured: TlCl2F after structural relaxation at the GGA-PBEsol level of DFT.

Cell lengths 3.826, 3.826, 23.534 Å; angles 90.00, 90.00, 120.00 degrees
Fractional positions:
Tl: 0.000 0.000 0.000
Tl: 0.333 0.667 0.667
Tl: 0.667 0.333 0.333
Cl: 0.000 0.000 0.098
Cl: 0.000 0.000 0.902
Cl: 0.333 0.667 0.569
Cl: 0.333 0.667 0.764
Cl: 0.667 0.333 0.236
Cl: 0.667 0.333 0.431
F: 0.000 0.000 0.500
F: 0.333 0.667 0.167
F: 0.667 0.333 0.833

space group: No. 166


Model 2:
Computed, not measured: TlCl2F after structural relaxation at the GGA-PBEsol level of DFT.

Cell lengths 6.504, 6.504, 6.504 Å; angles 90.00, 90.00, 90.00 degrees
Fractional positions:
Tl: 0.000 0.000 0.000
Tl: 0.000 0.500 0.500
Tl: 0.500 0.000 0.500
Tl: 0.500 0.500 0.000
Cl: 0.250 0.250 0.250
Cl: 0.250 0.250 0.750
Cl: 0.250 0.750 0.250
Cl: 0.250 0.750 0.750
Cl: 0.750 0.250 0.250
Cl: 0.750 0.250 0.750
Cl: 0.750 0.750 0.250
Cl: 0.750 0.750 0.750
F: 0.000 0.000 0.500
F: 0.000 0.500 0.000
F: 0.500 0.000 0.000
F: 0.500 0.500 0.500

space group: No. 225


Stability summary: most stable model 2, least stable model 1.


Model 1:
Computed, not measured: Fe3HgCl after structural relaxation at the GGA-PBEsol level of DFT.

Cell lengths 4.113, 4.113, 4.113 Å; angles 90.00, 90.00, 90.00 degrees
Fractional positions:
Fe: 0.000 0.000 0.500
Fe: 0.000 0.500 0.000
Fe: 0.500 0.000 0.000
Hg: 0.500 0.500 0.500
Cl: 0.000 0.000 0.000

space group: No. 221


Model 2:
Computed, not measured: Fe3HgCl after structural relaxation at the GGA-PBEsol level of DFT.

Cell lengths 4.884, 4.884, 4.884 Å; angles 90.00, 90.00, 90.00 degrees
Fractional positions:
Fe: 0.000 0.000 0.500
Fe: 0.000 0.500 0.000
Fe: 0.500 0.000 0.000
Hg: 0.000 0.000 0.000
Cl: 0.500 0.500 0.500

space group: No. 221


Stability summary: most stable model 1, least stable model 2.